NpTc4Ge4: optimized geometry, GGA-PBE.

Cell lengths 6.236, 6.236, 8.094 Å; angles 90.00, 90.00, 90.00 degrees
Space group P4_2/nmc (No. 137, origin choice 2)
Symmetry-distinct sites (fractional):
Np  0.250  0.750  0.250 (multiplicity 2)
Tc  0.004  0.750  0.621 (multiplicity 8)
Ge  0.051  0.250  0.075 (multiplicity 8)

Calculated values
Calculated density   9701 kg/m3
Formation enthalpy at 0 K   0.04 eV/atom

---

NpTcGe2: optimized geometry, GGA-PBE.

Cell lengths 4.360, 6.504, 5.424 Å; angles 90.00, 107.78, 90.00 degrees
Space group P2_1/m (No. 11)
Symmetry-distinct sites (fractional):
Np  0.048  0.250  0.140 (multiplicity 2)
Tc  0.126  0.750  0.407 (multiplicity 2)
Ge  0.415  0.047  0.729 (multiplicity 4)

Calculated values
Calculated density   10889 kg/m3
Formation enthalpy at 0 K   -0.16 eV/atom

---

NpTcGe2: optimized geometry, GGA-PBE.

Cell lengths 6.556, 6.556, 6.556 Å; angles 90.00, 90.00, 90.00 degrees
Space group Fm-3m (No. 225)
Symmetry-distinct sites (fractional):
Np  0.000  0.000  0.000 (multiplicity 4)
Tc  0.000  0.000  0.500 (multiplicity 4)
Ge  0.250  0.250  0.250 (multiplicity 8)

Calculated values
Calculated density   11321 kg/m3
Formation enthalpy at 0 K   -0.02 eV/atom

---

NpTc2Ge2: optimized geometry, GGA-PBE.

Cell lengths 4.186, 4.186, 10.381 Å; angles 90.00, 90.00, 90.00 degrees
Space group I4/mmm (No. 139)
Symmetry-distinct sites (fractional):
Np  0.000  0.000  0.000 (multiplicity 2)
Tc  0.000  0.500  0.250 (multiplicity 4)
Ge  0.000  0.000  0.380 (multiplicity 4)

Calculated values
Calculated density   10558 kg/m3
Formation enthalpy at 0 K   -0.12 eV/atom

---

NpTcGe: optimized geometry, GGA-PBE.

Cell lengths 6.948, 4.681, 6.952 Å; angles 90.00, 90.00, 90.00 degrees
Space group Pnma (No. 62)
Symmetry-distinct sites (fractional):
Np  0.023  0.250  0.191 (multiplicity 4)
Tc  0.158  0.750  0.466 (multiplicity 4)
Ge  0.207  0.250  0.617 (multiplicity 4)

Calculated values
Calculated density   11976 kg/m3
Formation enthalpy at 0 K   -0.21 eV/atom

---

NpTcGe: optimized geometry, GGA-PBE.

Cell lengths 4.436, 5.406, 5.437 Å; angles 115.55, 110.72, 94.88 degrees
Space group P-1 (No. 2)
Symmetry-distinct sites (fractional):
Np  0.056  0.246  0.020 (multiplicity 2)
Tc  0.292  0.354  0.667 (multiplicity 2)
Ge  0.346  0.853  0.636 (multiplicity 2)

Calculated values
Calculated density   12822 kg/m3
Formation enthalpy at 0 K   -0.08 eV/atom